Record 1
DFT (PBE) results for a relaxed structure of Pu3U2TiP6.

abc: 6.750 6.750 6.743
angles: 99.61 99.61 119.81
Atoms (fractional coordinates):
Pu: 0.170 0.830 0.500
Pu: 0.830 0.170 0.500
Pu: 0.500 0.500 0.500
U: 0.335 0.665 0.000
U: 0.665 0.335 0.000
Ti: 0.000 0.000 0.000
P: 0.923 0.603 0.766
P: 0.761 0.761 0.240
P: 0.077 0.397 0.234
P: 0.603 0.923 0.766
P: 0.239 0.239 0.760
P: 0.397 0.077 0.234

## Properties
Magnetic moment in μB/f.u.: 19.38
Raw total energy in eV/atom: -9.8951
Energy relative to the elements in eV/atom: -1.07
Space group: C2/m, No. 12

=====

Record 2
DFT (PBE) results for a relaxed structure of TmPu3P4.

abc: 3.987 6.893 6.893
angles: 109.50 90.00 90.00
Atoms (fractional coordinates):
Tm: 0.500 0.000 0.000
Pu: 0.000 0.000 0.500
Pu: 0.500 0.500 0.500
Pu: 0.000 0.500 0.000
P: 0.000 0.749 0.749
P: 0.500 0.749 0.251
P: 0.000 0.251 0.251
P: 0.500 0.251 0.749

## Properties
E above lowest polymorph in eV/atom: 0.0000
Magnetic moment in μB/f.u.: 14.86
Raw total energy in eV/atom: -9.9030
Energy relative to the elements in eV/atom: -1.26
Space group: Cmmm, No. 65

=====

- Which value of raw total energy does entry 1 give?
  -9.8951 eV/atom